[1]
A relaxed structure of Pa2PbN, computed with GGA-PBE.

## Properties
Fermi-level density of states: 6.78 states/eV/cell
energy relative to the lowest polymorph listed for this composition: 595 meV/atom
energy relative to the elements, uncorrected: -170 meV per atom
total DFT energy (no corrections): -31.7 eV/f.u.

a = 3.1655 Å, b = 3.1655 Å, c = 8.0669 Å
α = 90.00°, β = 90.00°, γ = 90.00°
Closest atoms and distances in Å follow each position.
Space group P4/mmm (No. 123)
Inequivalent atoms, fractional coordinates:
Pa  0.0000  0.0000  0.1818  4 N 2.68, 1 Pa 2.93
Pb  0.5000  0.5000  0.5000  4 Pb 3.17, 8 Pa 3.41
N  0.5000  0.5000  0.0000  8 Pa 2.68

---

[2]
A relaxed structure of Al2CuAs, computed with GGA-PBE.

## Properties
Fermi-level density of states: 2.78 states/eV/cell
energy of formation from the pure elements: 28 kJ/mol of formula units
total DFT energy (no corrections): -15.9 eV/f.u.

a = 5.8433 Å, b = 7.7204 Å, c = 2.8160 Å
α = 90.00°, β = 92.40°, γ = 90.00°
Closest atoms and distances in Å follow each position.
Space group C2/m (No. 12)
Inequivalent atoms, fractional coordinates:
Al  0.2500  0.2500  0.0000  4 As 2.77-2.83, 4 Cu 2.77-2.83, 4 Al 2.82-2.92
Cu  0.0000  0.0000  0.5000  8 Al 2.77-2.83, 2 Cu 2.82, 2 As 2.92
As  0.0000  0.5000  0.5000  8 Al 2.77-2.83, 2 As 2.82, 2 Cu 2.92

---

[3]
A relaxed structure of Ir2PtRh2, computed with GGA-PBE.

## Properties
Fermi-level density of states: 13.44 states/eV/cell
energy relative to the lowest polymorph listed for this composition: 290 meV/atom
energy of formation from the pure elements: 143 kJ/mol of formula units
total DFT energy (no corrections): -37.0 eV/f.u.

a = 7.4980 Å, b = 7.4980 Å, c = 2.7531 Å
α = 90.00°, β = 90.00°, γ = 90.00°
Closest atoms and distances in Å follow each position.
Space group P4/mbm (No. 127)
Inequivalent atoms, fractional coordinates:
Ir  0.1234  0.3766  0.0000  6 Rh 2.56-2.64, 3 Ir 2.62-2.75
Pt  0.0000  0.0000  0.0000  2 Pt 2.75, 4 Ir 2.97
Rh  0.1728  0.6728  0.5000  6 Ir 2.56-2.64, 2 Rh 2.75

---

[4]
A relaxed structure of YbF3, computed with GGA-PBE.

## Properties
Fermi-level density of states: 72.72 states/eV/cell
energy relative to the elements, uncorrected: -2965 meV per atom
total DFT energy (no corrections): -19.0 eV/f.u.

a = 5.5530 Å, b = 5.5530 Å, c = 5.5530 Å
α = 90.00°, β = 90.00°, γ = 90.00°
Closest atoms and distances in Å follow each position.
Space group Fm-3m (No. 225)
Inequivalent atoms, fractional coordinates:
Yb  0.0000  0.0000  0.0000  8 F 2.40
F  0.0000  0.0000  0.5000  8 F 2.40
F  0.2500  0.2500  0.2500  4 F 2.40, 4 Yb 2.40

---

[5]
A relaxed structure of CsZr2CoRh, computed with GGA-PBE.

## Properties
Fermi-level density of states: 5.97 states/eV/cell
energy of formation from the pure elements: 506 kJ/mol of formula units
total DFT energy (no corrections): -27.2 eV/f.u.

a = 4.8250 Å, b = 4.8250 Å, c = 5.2358 Å
α = 90.00°, β = 90.00°, γ = 90.00°
Closest atoms and distances in Å follow each position.
Space group P4/mmm (No. 123)
Inequivalent atoms, fractional coordinates:
Cs  0.0000  0.0000  0.0000  2 Co 2.62
Zr  0.0000  0.5000  0.5000  2 Co 2.41
Co  0.0000  0.0000  0.5000  4 Zr 2.41, 2 Cs 2.62
Rh  0.5000  0.5000  0.0000  4 Cs 3.41, 8 Zr 3.56

---

[6]
A relaxed structure of Mg2InSb, computed with GGA-PBE.

## Properties
Fermi-level density of states: 3.10 states/eV/cell
energy relative to the lowest polymorph listed for this composition: 25 meV/atom
energy relative to the elements, uncorrected: -127 meV per atom
total DFT energy (no corrections): -10.6 eV/f.u.

a = 4.6653 Å, b = 4.8063 Å, c = 8.6501 Å
α = 90.00°, β = 90.00°, γ = 90.00°
Closest atoms and distances in Å follow each position.
Space group Immm (No. 71)
Inequivalent atoms, fractional coordinates:
Mg  0.0000  0.0000  0.2494  4 Sb 3.18-3.24, 4 In 3.18-3.23, 4 Mg 3.35
In  0.0000  0.5000  0.0000  8 Mg 3.18-3.23, 4 Sb 3.35
Sb  0.0000  0.5000  0.5000  8 Mg 3.18-3.24, 4 In 3.35

---

[7]
A relaxed structure of Ba4GaHg3, computed with GGA-PBE.

## Properties
Fermi-level density of states: 4.56 states/eV/cell
energy of formation from the pure elements: -366 kJ/mol of formula units
total DFT energy (no corrections): -15.4 eV/f.u.

a = 4.1615 Å, b = 4.1615 Å, c = 16.9364 Å
α = 90.00°, β = 90.00°, γ = 90.00°
Closest atoms and distances in Å follow each position.
Space group P4/mmm (No. 123)
Inequivalent atoms, fractional coordinates:
Ba  0.0000  0.0000  0.1192  4 Ga 3.57, 4 Hg 3.65
Ba  0.0000  0.0000  0.3730  8 Hg 3.63-3.65
Ga  0.5000  0.5000  0.0000  8 Ba 3.57
Hg  0.5000  0.5000  0.2471  8 Ba 3.63-3.65
Hg  0.5000  0.5000  0.5000  8 Ba 3.65

---

[8]
A relaxed structure of ZrMnZnTc, computed with GGA-PBE.

## Properties
Fermi-level density of states: 21.92 states/eV/cell
energy of formation from the pure elements: 12 kJ/mol of formula units
total DFT energy (no corrections): -29.2 eV/f.u.

a = 6.3317 Å, b = 6.3317 Å, c = 6.3317 Å
α = 90.00°, β = 90.00°, γ = 90.00°
Closest atoms and distances in Å follow each position.
Space group F-43m (No. 216)
Inequivalent atoms, fractional coordinates:
Zr  0.0000  0.0000  0.0000  4 Tc 2.74, 4 Mn 2.74
Mn  0.2500  0.2500  0.7500  4 Zr 2.74, 4 Zn 2.74
Zn  0.0000  0.0000  0.5000  4 Mn 2.74, 4 Tc 2.74
Tc  0.2500  0.2500  0.2500  4 Zr 2.74, 4 Zn 2.74

---

[9]
A relaxed structure of Y2BeCoPt6, computed with GGA-PBE.

## Properties
Fermi-level density of states: 26.04 states/eV/cell
energy of formation from the pure elements: -661 kJ/mol of formula units
total DFT energy (no corrections): -66.9 eV/f.u.

a = 5.5659 Å, b = 5.5659 Å, c = 20.5783 Å
α = 90.00°, β = 90.00°, γ = 120.00°
Closest atoms and distances in Å follow each position.
Space group R-3m (No. 166, hexagonal axes)
Inequivalent atoms, fractional coordinates:
Y  0.0000  0.0000  0.2050  9 Pt 3.01-3.17, 3 Co 3.31
Be  0.0000  0.0000  0.0000  6 Pt 2.21
Co  0.0000  0.0000  0.5000  6 Pt 2.50
Pt  0.0045  0.5022  0.2605  1 Be 2.21

---

[10]
A relaxed structure of LiHoPb2, computed with GGA-PBE.

## Properties
Fermi-level density of states: 1.65 states/eV/cell
energy of formation from the pure elements: -126 kJ/mol of formula units
total DFT energy (no corrections): -15.2 eV/f.u.

a = 3.5881 Å, b = 3.5881 Å, c = 7.8734 Å
α = 90.00°, β = 90.00°, γ = 90.00°
Closest atoms and distances in Å follow each position.
Space group P4/mmm (No. 123)
Inequivalent atoms, fractional coordinates:
Li  0.0000  0.0000  0.0000  8 Pb 3.09
Ho  0.0000  0.0000  0.5000  8 Pb 3.34, 4 Ho 3.59
Pb  0.5000  0.5000  0.2242  4 Li 3.09, 4 Ho 3.34